The following is a GGA-PBEsol calculation of crystalline BeCdBr2 at its relaxed geometry, from Alexandria.

a = 5.807 Å, b = 5.807 Å, c = 5.807 Å
α = 146.84°, β = 109.51°, γ = 80.15°
Fractional positions:
Be: 0.000 0.000 0.000
Cd: 0.232 0.732 0.500
Br: 0.486 0.486 0.000
Br: 0.838 0.338 0.500

Calculated values
ρ = 4.7 g/cm3
ΔE_f (raw) = -0.185 eV/atom
relative energy among the computed polymorphs = 0 meV/atom
volume = 99 Å³ per cell
SG = Imm2, No. 44

---

The following is a GGA-PBEsol calculation of crystalline TiBeCdBr2 at its relaxed geometry, from Alexandria.

a = 4.604 Å, b = 4.604 Å, c = 5.136 Å
α = 90.00°, β = 90.00°, γ = 90.00°
Fractional positions:
Ti: 0.000 0.000 0.000
Be: 0.000 0.000 0.500
Cd: 0.500 0.500 0.000
Br: 0.000 0.500 0.500
Br: 0.500 0.000 0.500

Calculated values
ρ = 5.0 g/cm3
ΔE_f (raw) = 0.415 eV/atom
volume = 109 Å³ per cell
SG = P4/mmm, No. 123

---

The following is a GGA-PBEsol calculation of crystalline BeBrCl2 at its relaxed geometry, from Alexandria.

a = 6.230 Å, b = 6.230 Å, c = 6.230 Å
α = 153.30°, β = 117.15°, γ = 69.53°
Fractional positions:
Be: 0.000 0.000 0.000
Br: 0.179 0.679 0.500
Cl: 0.515 0.515 0.000
Cl: 0.868 0.368 0.500

Calculated values
ρ = 2.8 g/cm3
ΔE_f (raw) = -0.503 eV/atom
volume = 96 Å³ per cell
SG = Imm2, No. 44

---

The following is a GGA-PBEsol calculation of crystalline Be2BrCl at its relaxed geometry, from Alexandria.

a = 3.440 Å, b = 3.440 Å, c = 6.859 Å
α = 90.00°, β = 90.00°, γ = 124.25°
Fractional positions:
Be: 0.000 0.000 0.243
Be: 0.000 0.000 0.757
Br: 0.500 0.500 0.500
Cl: 0.500 0.500 0.000

Calculated values
ρ = 3.3 g/cm3
ΔE_f (raw) = 0.379 eV/atom
relative energy among the computed polymorphs = 120 meV/atom
volume = 67 Å³ per cell
SG = Cmmm, No. 65

---

The following is a GGA-PBEsol calculation of crystalline Be2BrCl at its relaxed geometry, from Alexandria.

a = 3.014 Å, b = 3.014 Å, c = 7.757 Å
α = 90.00°, β = 90.00°, γ = 90.00°
Fractional positions:
Be: 0.000 0.000 0.000
Be: 0.500 0.500 0.261
Br: 0.000 0.000 0.426
Cl: 0.500 0.500 0.839

Calculated values
ρ = 3.1 g/cm3
ΔE_f (raw) = 0.259 eV/atom
relative energy among the computed polymorphs = 0 meV/atom
volume = 70 Å³ per cell
SG = P4mm, No. 99

---

The following is a GGA-PBEsol calculation of crystalline BeBr2Cl2 at its relaxed geometry, from Alexandria.

a = 5.898 Å, b = 5.898 Å, c = 7.358 Å
α = 90.00°, β = 90.00°, γ = 90.00°
Fractional positions:
Be: 0.000 0.000 0.000
Be: 0.500 0.500 0.000
Br: 0.140 0.360 0.500
Br: 0.360 0.860 0.500
Br: 0.640 0.140 0.500
Br: 0.860 0.640 0.500
Cl: 0.190 0.690 0.000
Cl: 0.310 0.190 0.000
Cl: 0.690 0.810 0.000
Cl: 0.810 0.310 0.000

Calculated values
ρ = 3.1 g/cm3
ΔE_f (raw) = -0.423 eV/atom
volume = 256 Å³ per cell
SG = P4/mbm, No. 127

---

The following is a GGA-PBEsol calculation of crystalline BeCo3Br at its relaxed geometry, from Alexandria.

a = 3.968 Å, b = 3.968 Å, c = 3.968 Å
α = 90.00°, β = 90.00°, γ = 90.00°
Fractional positions:
Be: 0.000 0.000 0.000
Co: 0.000 0.000 0.500
Co: 0.000 0.500 0.000
Co: 0.500 0.000 0.000
Br: 0.500 0.500 0.500

Calculated values
ρ = 7.1 g/cm3
ΔE_f (raw) = 0.858 eV/atom
volume = 62 Å³ per cell
SG = Pm-3m, No. 221

---

The following is a GGA-PBEsol calculation of crystalline BeCoBr2 at its relaxed geometry, from Alexandria.

a = 4.810 Å, b = 3.242 Å, c = 4.827 Å
α = 90.00°, β = 93.28°, γ = 90.00°
Fractional positions:
Be: 0.000 0.000 0.000
Co: 0.500 0.000 0.500
Br: 0.236 0.500 0.763
Br: 0.764 0.500 0.237

Calculated values
ρ = 5.0 g/cm3
ΔE_f (raw) = 0.491 eV/atom
volume = 75 Å³ per cell
SG = P2/m, No. 10

---

The following is a GGA-PBEsol calculation of crystalline Be4CoBr at its relaxed geometry, from Alexandria.

a = 4.429 Å, b = 4.429 Å, c = 4.429 Å
α = 60.00°, β = 60.00°, γ = 60.00°
Fractional positions:
Be: 0.378 0.378 0.378
Be: 0.378 0.378 0.867
Be: 0.378 0.867 0.378
Be: 0.867 0.378 0.378
Co: 0.750 0.750 0.750
Br: 0.000 0.000 0.000

Calculated values
ρ = 4.7 g/cm3
ΔE_f (raw) = 0.534 eV/atom
volume = 61 Å³ per cell
SG = F-43m, No. 216

---

The following is a GGA-PBEsol calculation of crystalline Be2CoCuBr at its relaxed geometry, from Alexandria.

a = 3.999 Å, b = 3.999 Å, c = 5.113 Å
α = 90.00°, β = 90.00°, γ = 90.00°
Fractional positions:
Be: 0.000 0.500 0.000
Be: 0.500 0.000 0.000
Co: 0.000 0.000 0.500
Cu: 0.500 0.500 0.000
Br: 0.500 0.500 0.500

Calculated values
ρ = 4.5 g/cm3
ΔE_f (raw) = 1.246 eV/atom
volume = 82 Å³ per cell
SG = P4/mmm, No. 123

---

The following is a GGA-PBEsol calculation of crystalline BeCo2SBr at its relaxed geometry, from Alexandria.

a = 4.278 Å, b = 4.278 Å, c = 4.005 Å
α = 90.00°, β = 90.00°, γ = 90.00°
Fractional positions:
Be: 0.000 0.000 0.000
Co: 0.000 0.500 0.000
Co: 0.500 0.000 0.000
S: 0.500 0.500 0.500
Br: 0.000 0.000 0.500

Calculated values
ρ = 5.4 g/cm3
ΔE_f (raw) = 1.097 eV/atom
volume = 73 Å³ per cell
SG = P4/mmm, No. 123

---

The following is a GGA-PBEsol calculation of crystalline ScBe2CoBr at its relaxed geometry, from Alexandria.

a = 4.159 Å, b = 4.159 Å, c = 4.641 Å
α = 90.00°, β = 90.00°, γ = 90.00°
Fractional positions:
Sc: 0.000 0.000 0.000
Be: 0.000 0.500 0.500
Be: 0.500 0.000 0.500
Co: 0.000 0.000 0.500
Br: 0.500 0.500 0.000

Calculated values
ρ = 4.2 g/cm3
ΔE_f (raw) = 0.156 eV/atom
volume = 80 Å³ per cell
SG = P4/mmm, No. 123

---

> Which of these has the highest ρ?

BeCo3Br

---

> Look up the ΔE_f (raw) of the eleventh one.

1.097 eV/atom

---

> Which of these has the lowest volume?

Be4CoBr

---

> Among the records above, which one has the lowest ρ?

BeBrCl2